The following is a DFT calculation (PBE) of an optimized crystal structure of InTcBr2.

abc: 3.688 3.688 10.047
angles: 90.00 90.00 126.58
Fractional coordinates of all 4 atoms:
In 0.000 0.000 0.000
Tc 0.000 0.000 0.500
Br 0.500 0.500 0.305
Br 0.500 0.500 0.695

Results
E_tot = -15.36 eV/f.u.
Density = 5.64 Mg/m³
Symmetry = Cmmm, No. 65
Magnetization = 2.76 Bohr magnetons per cell
Formation energy without anion corrections = 105 kJ/mol of formula units
E above lowest polymorph = 1.374 eV/f.u.